## PrPuZn17 (PBE-GGA)

Data for a relaxed PrPuZn17 crystal.

- V (Å³ per cell) = 312.9
- space group = R3m (160)
- ΔH_f (0 K) (eV/atom) = -0.1988

a = 6.841 Å, b = 6.841 Å, c = 6.841 Å
α = 82.68°, β = 82.68°, γ = 82.68°
Each line ends with the local moment (μB).
Fractional coordinates of all 19 atoms:
Pr1 0.664 0.664 0.664  -0.04
Pu1 0.335 0.335 0.335  5.31
Zn1 0.294 0.001 0.705  0.00
Zn2 0.705 0.294 0.001  0.00
Zn3 0.001 0.705 0.294  0.00
Zn4 0.294 0.705 0.001  0.00
Zn5 0.001 0.294 0.705  0.00
Zn6 0.705 0.001 0.294  0.00
Zn7 0.350 0.843 0.350  0.00
Zn8 0.350 0.350 0.843  0.00
Zn9 0.843 0.350 0.350  0.00
Zn10 0.645 0.164 0.645  0.00
Zn11 0.645 0.645 0.164  0.00
Zn12 0.164 0.645 0.645  0.00
Zn13 0.000 0.500 0.000  0.00
Zn14 0.000 0.000 0.500  0.00
Zn15 0.500 0.000 0.000  0.00
Zn16 0.903 0.903 0.903  -0.01
Zn17 0.101 0.101 0.101  0.00

---

## Cs3Cd2NiCl9 (PBE-GGA)

Data for a relaxed Cs3Cd2NiCl9 crystal.

- V (Å³ per cell) = 421.9
- space group = P-3m1 (164)
- raw formation energy (eV/atom) = -1.341

a = 7.354 Å, b = 7.354 Å, c = 9.007 Å
α = 90.00°, β = 90.00°, γ = 120.00°
Each line ends with the local moment (μB).
Fractional coordinates of all 15 atoms:
Cs1 0.333 0.667 0.666  0.00
Cs2 0.000 0.000 0.000  0.00
Cs3 0.667 0.333 0.334  0.00
Cd1 0.333 0.667 0.178  0.03
Cd2 0.667 0.333 0.822  0.03
Ni1 0.000 0.000 0.500  1.46
Cl1 0.842 0.158 0.657  0.06
Cl2 0.842 0.684 0.657  0.06
Cl3 0.316 0.158 0.657  0.06
Cl4 0.684 0.842 0.343  0.06
Cl5 0.158 0.316 0.343  0.06
Cl6 0.158 0.842 0.343  0.06
Cl7 0.500 0.000 0.000  0.01
Cl8 0.000 0.500 0.000  0.01
Cl9 0.500 0.500 0.000  0.01

---

## CaRe2Se (PBE-GGA)

Data for a relaxed CaRe2Se crystal.

- V (Å³ per cell) = 78.4
- space group = Amm2 (38)
- raw formation energy (eV/atom) = 0.030

a = 3.158 Å, b = 3.328 Å, c = 7.642 Å
α = 77.42°, β = 90.00°, γ = 90.00°
Fractional coordinates of all 4 atoms:
Re1 0.000 0.037 0.051
Re2 0.500 0.454 0.217
Ca1 0.500 0.690 0.745
Se1 0.000 0.319 0.488

---

## AsSe2 (PBE-GGA)

Data for a relaxed AsSe2 crystal.

- V (Å³ per cell) = 79.0
- space group = P-3m1 (164)
- raw formation energy (eV/atom) = -0.009

a = 3.644 Å, b = 3.644 Å, c = 6.869 Å
α = 90.00°, β = 90.00°, γ = 120.00°
Fractional coordinates of all 3 atoms:
As1 0.000 0.000 0.000
Se1 0.667 0.333 0.770
Se2 0.333 0.667 0.230

---

no.,mass density (g cm⁻³)
1,7.94
2,3.94
3,10.41
4,4.89